#A
Computed, not measured: AgBiSe3 after structural relaxation at the PBE-GGA level of DFT.

Output
total magnetic moment = 0.00 Bohr magnetons per cell
V = 263.9 Å³ per cell
crystal system = monoclinic

abc: 4.167 8.718 7.548
angles: 90.00 105.76 90.00
Positions (direct):
Ag 0.000 0.000 0.000
Ag 0.000 0.500 0.000
Bi 0.256 0.250 0.518
Bi 0.744 0.750 0.482
Se 0.101 0.750 0.210
Se 0.359 0.610 0.751
Se 0.359 0.890 0.751
Se 0.641 0.110 0.249
Se 0.641 0.390 0.249
Se 0.899 0.250 0.790

#B
Computed, not measured: AgBiSe3 after structural relaxation at the PBE-GGA level of DFT.

Output
total magnetic moment = 0.00 Bohr magnetons per cell
V = 129.7 Å³ per cell
crystal system = cubic

abc: 5.062 5.062 5.062
angles: 90.00 90.00 90.00
Positions (direct):
Ag 0.000 0.000 0.000
Bi 0.500 0.500 0.500
Se 0.000 0.000 0.500
Se 0.000 0.500 0.000
Se 0.500 0.000 0.000

Which one sits at the top of the stability order? #A does.

#A
Computed, not measured: AgBiTeSe after structural relaxation at the PBE-GGA level of DFT.

Output
total magnetic moment = 0.00 Bohr magnetons per cell
V = 248.5 Å³ per cell
crystal system = hexagonal

abc: 4.427 4.427 14.643
angles: 90.00 90.00 120.00
Positions (direct):
Ag 0.000 0.000 0.000
Ag 0.000 0.000 0.500
Bi 0.333 0.667 0.277
Bi 0.667 0.333 0.777
Te 0.333 0.667 0.914
Te 0.667 0.333 0.414
Se 0.000 0.000 0.180
Se 0.000 0.000 0.680

#B
Computed, not measured: AgBiTeSe after structural relaxation at the PBE-GGA level of DFT.

Output
total magnetic moment = 0.00 Bohr magnetons per cell
V = 110.9 Å³ per cell
crystal system = tetragonal

abc: 4.224 4.224 6.216
angles: 90.00 90.00 90.00
Positions (direct):
Ag 0.000 0.000 0.000
Bi 0.500 0.500 0.500
Te 0.500 0.500 0.000
Se 0.000 0.000 0.500

Which one sits at the top of the stability order? #A does.

#A
Computed, not measured: Si2Ag2Bi after structural relaxation at the PBE-GGA level of DFT.

Output
total magnetic moment = 0.00 Bohr magnetons per cell
V = 202.8 Å³ per cell
crystal system = tetragonal

abc: 8.161 8.161 3.045
angles: 90.00 90.00 90.00
Positions (direct):
Si 0.171 0.329 0.000
Si 0.329 0.829 0.000
Si 0.671 0.171 0.000
Si 0.829 0.671 0.000
Ag 0.125 0.625 0.500
Ag 0.375 0.125 0.500
Ag 0.625 0.875 0.500
Ag 0.875 0.375 0.500
Bi 0.000 0.000 0.000
Bi 0.500 0.500 0.000

#B
Computed, not measured: Si2Ag2Bi after structural relaxation at the PBE-GGA level of DFT.

Output
total magnetic moment = 0.00 Bohr magnetons per cell
V = 101.0 Å³ per cell
crystal system = tetragonal

abc: 6.300 6.300 6.300
angles: 140.32 140.32 57.36
Positions (direct):
Si 0.105 0.105 0.000
Si 0.895 0.895 0.000
Ag 0.250 0.750 0.500
Ag 0.750 0.250 0.500
Bi 0.500 0.500 0.000

Which one sits at the top of the stability order? #B does.